1.
Ce2In5Cu | GGA-PBE | relaxed

total DFT energy (no corrections): -3.8224 eV per atom
SG: No. 166
total moment: 2.13 μB/cell

```
Ce2In5Cu
1.0
2.377 1.373 11.119
-2.377 1.373 11.119
0.000 -2.745 11.119
Ce In Cu
2 5 1
Direct
0.086 0.086 0.086
0.914 0.914 0.914
0.200 0.200 0.200
0.357 0.357 0.357
0.500 0.500 0.500
0.643 0.643 0.643
0.800 0.800 0.800
0.000 0.000 0.000
```

2.
K2Ag3Cl8 | GGA-PBE | relaxed

total DFT energy (no corrections): -2.7567 eV per atom
SG: No. 12
total moment: 0.41 μB/cell

```
K2Ag3Cl8
1.0
7.524 -4.161 0.000
7.524 4.161 0.000
-2.384 0.000 6.215
K Ag Cl
2 3 8
Direct
0.229 0.229 0.161
0.771 0.771 0.839
0.234 0.766 0.500
0.500 0.500 0.000
0.766 0.234 0.500
0.116 0.116 0.470
0.171 0.628 0.122
0.372 0.829 0.878
0.402 0.402 0.617
0.598 0.598 0.383
0.628 0.171 0.122
0.829 0.372 0.878
0.884 0.884 0.530
```

3.
HfHAuS2 | GGA-PBE | relaxed

total DFT energy (no corrections): -4.7543 eV per atom
SG: No. 123
total moment: 0.93 μB/cell

```
HfHAuS2
1.0
4.882 0.000 0.000
0.000 4.882 0.000
0.000 0.000 5.496
Hf H Au S
1 1 1 2
Direct
0.000 0.000 0.000
0.500 0.500 0.500
0.000 0.000 0.500
0.000 0.500 0.000
0.500 0.000 0.000
```

Q: Look up the total moment of the third one.
A: 0.93 μB/cell